A plane-wave DFT calculation with PBE-GGA was carried out for a relaxed structure of Tb8Pm6In.

a b c (Å): 6.4567 9.4133 9.4133
angles (deg): 120.00 90.00 90.00
Fractional positions:
Tb  0.8150  0.7354  0.7741
Tb  0.1850  0.7741  0.0387
Tb  0.1564  0.6667  0.3333
Tb  0.8150  0.2259  0.9613
Tb  0.8436  0.3333  0.6667
Tb  0.1850  0.9613  0.7354
Tb  0.8150  0.0387  0.2646
Tb  0.1850  0.2646  0.2259
In  0.5000  0.0000  0.0000
Pm  0.3221  0.0909  0.4486
Pm  0.6779  0.4486  0.3577
Pm  0.3221  0.3577  0.9091
Pm  0.6779  0.9091  0.5514
Pm  0.6779  0.6423  0.0909
Pm  0.3221  0.5514  0.6423

Summary:
Energy of formation in eV per formula unit: 1.01
Space-group type: P-3, No. 147
ρ in Mg/m³: 7.56